VASP calculation (PBE-GGA) on a relaxed structure of Ti2IrO2.

As for the uncorrected formation energy: -1.643 eV/atom.

abc: 4.1585 4.1585 7.4106
angles: 90.00 90.00 90.00
Space group I4/mmm (No. 139)
Inequivalent atoms, fractional coordinates:
1 Ti 0.0000 0.5000 0.2500 [4 per cell]
2 Ir 0.0000 0.0000 0.0000 [2 per cell]
3 O 0.0000 0.0000 0.2723 [4 per cell]

VASP calculation (PBE-GGA) on a relaxed structure of Ti2TlIrO.

As for the uncorrected formation energy: 0.114 eV/atom.

abc: 5.0313 5.0313 3.7550
angles: 90.00 90.00 90.00
Space group P4/mmm (No. 123)
Inequivalent atoms, fractional coordinates:
1 Ti 0.0000 0.5000 0.0000 [2 per cell]
2 Tl 0.0000 0.0000 0.5000 [1 per cell]
3 Ir 0.5000 0.5000 0.0000 [1 per cell]
4 O 0.5000 0.5000 0.5000 [1 per cell]

> Number 1 is which compound?

Ti2IrO2